[1]
Compound: Pr4Sm2MgSc
Source: Alexandria
Functional: PBE
Structure: optimized geometry

a = 5.077 Å, b = 5.071 Å, c = 11.229 Å
α = 63.12°, β = 90.00°, γ = 90.00°
Positions (direct):
Pr 0.000 0.248 0.251
Pr 0.500 0.748 0.252
Pr 0.500 0.252 0.748
Pr 0.000 0.752 0.749
Mg 0.500 0.500 0.000
Sc 0.000 0.500 0.500
Sm 0.000 0.000 0.000
Sm 0.500 0.000 0.500

Summary:
- SG = No. 123
- spin magnetization (Bohr magnetons per cell) = 0.0
- energy of formation from the pure elements (kJ/mol of formula units) = 11

---

[2]
Compound: CaHoZn17
Source: Alexandria
Functional: PBE
Structure: optimized geometry

a = 6.808 Å, b = 6.808 Å, c = 6.808 Å
α = 82.86°, β = 82.86°, γ = 82.86°
Positions (direct):
Zn 0.354 0.835 0.354
Zn 0.000 0.500 0.000
Zn 0.000 0.298 0.703
Zn 0.159 0.649 0.649
Zn 0.649 0.159 0.649
Zn 0.099 0.099 0.099
Zn 0.835 0.354 0.354
Zn 0.000 0.703 0.298
Zn 0.899 0.899 0.899
Zn 0.703 0.298 0.000
Zn 0.500 0.000 0.000
Zn 0.354 0.354 0.835
Zn 0.298 0.000 0.703
Zn 0.000 0.000 0.500
Zn 0.649 0.649 0.159
Zn 0.298 0.703 0.000
Zn 0.703 0.000 0.298
Ho 0.665 0.665 0.665
Ca 0.337 0.337 0.337

Summary:
- SG = No. 160
- spin magnetization (Bohr magnetons per cell) = 0.0
- energy of formation from the pure elements (kJ/mol of formula units) = -368

---

[3]
Compound: NaAgTeF6
Source: Alexandria
Functional: PBE
Structure: optimized geometry

a = 5.951 Å, b = 5.951 Å, c = 4.977 Å
α = 89.99°, β = 90.01°, γ = 59.88°
Positions (direct):
F 0.030 0.626 0.727
F 0.627 0.342 0.727
F 0.343 0.032 0.727
F 0.625 0.031 0.273
F 0.032 0.343 0.273
F 0.342 0.627 0.273
Ag 0.000 0.000 0.000
Te 0.333 0.334 0.500
Na 0.666 0.666 0.500

Summary:
- SG = No. 5
- spin magnetization (Bohr magnetons per cell) = 0.0
- formation energy (no corrections) (eV/atom) = -2.019

---

[4]
Compound: LaPuSe3
Source: Alexandria
Functional: PBE
Structure: optimized geometry

a = 4.233 Å, b = 6.935 Å, c = 9.262 Å
α = 90.00°, β = 90.00°, γ = 90.00°
Positions (direct):
Se 0.500 0.268 0.669
Se 0.500 0.500 0.073
Se 0.500 0.732 0.669
Se 0.000 0.000 0.927
Se 0.000 0.232 0.331
Se 0.000 0.768 0.331
La 0.000 0.500 0.852
La 0.500 0.000 0.148
Pu 0.000 0.000 0.598
Pu 0.500 0.500 0.402

Summary:
- SG = No. 59
- spin magnetization (Bohr magnetons per cell) = 10.0
- formation energy (no corrections) (eV/atom) = -1.718

---

[5]
Compound: KSiTc2
Source: Alexandria
Functional: PBE
Structure: optimized geometry

a = 4.771 Å, b = 4.771 Å, c = 6.779 Å
α = 81.33°, β = 81.33°, γ = 35.05°
Positions (direct):
Tc 0.538 0.538 0.382
Tc 0.962 0.962 0.118
K 0.750 0.750 0.750
Si 0.250 0.250 0.250

Summary:
- SG = No. 12
- spin magnetization (Bohr magnetons per cell) = 0.0
- formation energy (no corrections) (eV/atom) = 0.618

---

[6]
Compound: La6Ho12Al
Source: Alexandria
Functional: PBE
Structure: optimized geometry

a = 8.498 Å, b = 8.498 Å, c = 8.498 Å
α = 89.60°, β = 89.60°, γ = 89.60°
Positions (direct):
Ho 0.020 0.177 0.358
Ho 0.980 0.823 0.642
Ho 0.533 0.440 0.780
Ho 0.642 0.980 0.823
Ho 0.560 0.220 0.467
Ho 0.440 0.780 0.533
Ho 0.823 0.642 0.980
Ho 0.467 0.560 0.220
Ho 0.177 0.358 0.020
Ho 0.220 0.467 0.560
Ho 0.780 0.533 0.440
Ho 0.358 0.020 0.177
La 0.299 0.737 0.909
La 0.263 0.091 0.701
La 0.909 0.299 0.737
La 0.737 0.909 0.299
La 0.701 0.263 0.091
La 0.091 0.701 0.263
Al 0.000 0.000 0.000

Summary:
- SG = No. 148
- spin magnetization (Bohr magnetons per cell) = 0.0
- energy of formation from the pure elements (kJ/mol of formula units) = 155

---

Number 1: theoretical density 6.01 Mg/m³, raw total energy -4.5457 eV per atom. Number 2: theoretical density 7.08 Mg/m³, raw total energy -1.6869 eV per atom. Number 3: theoretical density 4.06 Mg/m³, raw total energy -4.0791 eV per atom. Number 4: theoretical density 7.57 Mg/m³, raw total energy -7.6603 eV per atom. Number 5: theoretical density 4.99 Mg/m³, raw total energy -6.1952 eV per atom. Number 6: theoretical density 7.68 Mg/m³, raw total energy -4.5598 eV per atom.